Entry 1:
Be2CrRu | PBEsol | relaxed

Summary:
formation energy	-77	meV per atom
ρ	7.05	g/cm3
E_tot	-7.1805	eV per atom

```
data_Be2CrRu
_space_group_name_H-M_alt 'I m m 2'
_space_group_IT_number 44
_cell_length_a 2.839
_cell_length_b 3.821
_cell_length_c 7.430
_cell_angle_alpha 90.00
_cell_angle_beta 90.00
_cell_angle_gamma 90.00
loop_
_space_group_symop_operation_xyz
'x,y,z'
'-x,-y,z'
'-x,y,z'
'x,-y,z'
'x+1/2,y+1/2,z+1/2'
'-x+1/2,-y+1/2,z+1/2'
'-x+1/2,y+1/2,z+1/2'
'x+1/2,-y+1/2,z+1/2'
loop_
_atom_site_label
_atom_site_type_symbol
_atom_site_fract_x
_atom_site_fract_y
_atom_site_fract_z
Be1 Be 0.000 0.000 0.000
Be2 Be 0.000 0.500 0.282
Cr1 Cr 0.000 0.500 0.755
Ru1 Ru 0.000 0.000 0.523
```

Entry 2:
Be3CrRu | PBEsol | relaxed

Summary:
formation energy	1339	meV per atom
ρ	5.31	g/cm3
E_tot	-5.1437	eV per atom

```
data_Be3CrRu
_space_group_name_H-M_alt 'P m -3 m'
_space_group_IT_number 221
_space_group_name_Hall '-P 4 2 3'
_cell_length_a 3.833
_cell_length_b 3.833
_cell_length_c 3.833
_cell_angle_alpha 90.00
_cell_angle_beta 90.00
_cell_angle_gamma 90.00
loop_
_atom_site_label
_atom_site_type_symbol
_atom_site_fract_x
_atom_site_fract_y
_atom_site_fract_z
Be1 Be 0.000 0.000 0.500
Cr1 Cr 0.000 0.000 0.000
Ru1 Ru 0.500 0.500 0.500
```

Entry 3:
BeCr2Ru | PBEsol | relaxed

Summary:
formation energy	-70	meV per atom
ρ	8.14	g/cm3
E_tot	-8.7342	eV per atom

```
data_BeCr2Ru
_space_group_name_H-M_alt 'I m m m'
_space_group_IT_number 71
_space_group_name_Hall '-I 2 2'
_cell_length_a 2.858
_cell_length_b 3.711
_cell_length_c 8.231
_cell_angle_alpha 90.00
_cell_angle_beta 90.00
_cell_angle_gamma 90.00
loop_
_atom_site_label
_atom_site_type_symbol
_atom_site_fract_x
_atom_site_fract_y
_atom_site_fract_z
Be1 Be 0.000 0.000 0.000
Cr1 Cr 0.000 0.500 0.250
Ru1 Ru 0.000 0.000 0.500
```

Entry 4:
ZrBeCr2Ru | PBEsol | relaxed

Summary:
formation energy	871	meV per atom
ρ	6.22	g/cm3
E_tot	-7.8780	eV per atom

```
data_ZrBeCr2Ru
_space_group_name_H-M_alt 'P 4/m m m'
_space_group_IT_number 123
_space_group_name_Hall '-P 4 2'
_cell_length_a 4.427
_cell_length_b 4.427
_cell_length_c 4.161
_cell_angle_alpha 90.00
_cell_angle_beta 90.00
_cell_angle_gamma 90.00
loop_
_atom_site_label
_atom_site_type_symbol
_atom_site_fract_x
_atom_site_fract_y
_atom_site_fract_z
Zr1 Zr 0.000 0.000 0.000
Be1 Be 0.500 0.500 0.000
Cr1 Cr 0.000 0.500 0.500
Ru1 Ru 0.500 0.500 0.500
```

Entry 5:
BeCrS2 | PBEsol | relaxed

Summary:
ρ	3.12	g/cm3
raw formation energy	-232	kJ/mol of formula units
E_tot	-6.3539	eV per atom

```
data_BeCrS2
_space_group_name_H-M_alt 'I -4 2 d'
_space_group_IT_number 122
_space_group_name_Hall 'I -4 2bw'
_cell_length_a 5.281
_cell_length_b 5.281
_cell_length_c 9.536
_cell_angle_alpha 90.00
_cell_angle_beta 90.00
_cell_angle_gamma 90.00
loop_
_atom_site_label
_atom_site_type_symbol
_atom_site_fract_x
_atom_site_fract_y
_atom_site_fract_z
Be1 Be 0.000 0.000 0.000
Cr1 Cr 0.000 0.000 0.500
S1 S 0.209 0.250 0.125
```

Entry 6:
BeCr2Sb | PBEsol | relaxed

Summary:
ρ	7.32	g/cm3
raw formation energy	124	kJ/mol of formula units
E_tot	-6.9387	eV per atom
distance to the lowest polymorph of the same formula	96	meV per atom

```
data_BeCr2Sb
_space_group_name_H-M_alt 'I -4 m 2'
_space_group_IT_number 119
_space_group_name_Hall 'I -4 -2'
_cell_length_a 3.756
_cell_length_b 3.756
_cell_length_c 7.554
_cell_angle_alpha 90.00
_cell_angle_beta 90.00
_cell_angle_gamma 90.00
loop_
_atom_site_label
_atom_site_type_symbol
_atom_site_fract_x
_atom_site_fract_y
_atom_site_fract_z
Be1 Be 0.000 0.000 0.000
Cr1 Cr 0.000 0.000 0.500
Cr2 Cr 0.000 0.500 0.250
Sb1 Sb 0.000 0.500 0.750
```

Entry 7:
BeCr2Sb | PBEsol | relaxed

Summary:
ρ	7.62	g/cm3
raw formation energy	87	kJ/mol of formula units
E_tot	-7.0343	eV per atom
distance to the lowest polymorph of the same formula	0	meV per atom

```
data_BeCr2Sb
_space_group_name_H-M_alt 'P 4 m m'
_space_group_IT_number 99
_cell_length_a 3.026
_cell_length_b 3.026
_cell_length_c 5.588
_cell_angle_alpha 90.00
_cell_angle_beta 90.00
_cell_angle_gamma 90.00
loop_
_space_group_symop_operation_xyz
'x,y,z'
'-y,x,z'
'-x,-y,z'
'y,-x,z'
'-x,y,z'
'y,x,z'
'x,-y,z'
'-y,-x,z'
loop_
_atom_site_label
_atom_site_type_symbol
_atom_site_fract_x
_atom_site_fract_y
_atom_site_fract_z
Be1 Be 0.000 0.000 0.000
Cr1 Cr 0.000 0.000 0.589
Cr2 Cr 0.500 0.500 0.823
Sb1 Sb 0.500 0.500 0.303
```

Entry 8:
BeCr4Sb | PBEsol | relaxed

Summary:
ρ	7.36	g/cm3
raw formation energy	247	kJ/mol of formula units
E_tot	-7.8276	eV per atom

```
data_BeCr4Sb
_space_group_name_H-M_alt 'F -4 3 m'
_space_group_IT_number 216
_space_group_name_Hall 'F -4 2 3'
_cell_length_a 6.736
_cell_length_b 6.736
_cell_length_c 6.736
_cell_angle_alpha 90.00
_cell_angle_beta 90.00
_cell_angle_gamma 90.00
loop_
_atom_site_label
_atom_site_type_symbol
_atom_site_fract_x
_atom_site_fract_y
_atom_site_fract_z
Be1 Be 0.000 0.000 0.000
Cr1 Cr 0.127 0.127 0.373
Sb1 Sb 0.250 0.250 0.750
```

- E_tot of number 1 (Be2CrRu)?
  -7.1805 eV per atom

- What is the formula in the seventh record?
  BeCr2Sb

- Which value of E_tot does entry 3 give?
  -8.7342 eV per atom

Please write out number 5 again, unchanged.
BeCrS2 | PBEsol | relaxed

Summary:
ρ	3.12	g/cm3
raw formation energy	-232	kJ/mol of formula units
E_tot	-6.3539	eV per atom

```
data_BeCrS2
_space_group_name_H-M_alt 'I -4 2 d'
_space_group_IT_number 122
_space_group_name_Hall 'I -4 2bw'
_cell_length_a 5.281
_cell_length_b 5.281
_cell_length_c 9.536
_cell_angle_alpha 90.00
_cell_angle_beta 90.00
_cell_angle_gamma 90.00
loop_
_atom_site_label
_atom_site_type_symbol
_atom_site_fract_x
_atom_site_fract_y
_atom_site_fract_z
Be1 Be 0.000 0.000 0.000
Cr1 Cr 0.000 0.000 0.500
S1 S 0.209 0.250 0.125
```